{"formula": "TcMoHO2", "functional": "PBE with a Hubbard U", "state": "relaxed", "cell": [[4.1026, 0.0000, 0.0000], [0.0000, 3.6306, 0.0000], [0.0000, 0.0000, 4.1026]], "species": ["Mo", "O", "O", "H", "Tc"], "frac_coords": [[0.0000, 0.0000, 0.0000], [0.0000, 0.0000, 0.5000], [0.5000, 0.0000, 0.0000], [0.0000, 0.5000, 0.0000], [0.5000, 0.5000, 0.5000]], "dft_energy_ry_per_atom": -0.4487, "crystal_system": "tetragonal"}